Computed, not measured: a geometry-optimized CeMg structure at the PBE level of DFT.

POSCAR file:
```
CeMg
1.0
6.9292 -1.5684 0.0000
6.9292 1.5684 0.0000
-1.4425 0.0000 6.8091
Ce Mg
3 3
Cartesian
0.0000 0.0000 0.0000
4.4179 0.0000 0.8777
7.9981 0.0000 5.9314
-0.7212 0.0000 3.4045
3.6864 0.0000 4.3760
8.7296 0.0000 2.4331
```

Properties
Space group ... C2/m (12)
Energy of formation from the pure elements ... 0.01 eV/atom

***

Computed, not measured: a geometry-optimized Tl2TeAs2 structure at the PBE level of DFT.

POSCAR file:
```
Tl2TeAs2
1.0
8.0045 0.0000 0.0000
0.0000 8.0045 0.0000
0.0000 0.0000 4.2201
Tl Te As
4 2 4
Cartesian
1.2090 2.7933 0.0000
2.7933 6.7955 0.0000
5.2112 1.2090 0.0000
6.7955 5.2112 0.0000
0.0000 0.0000 2.1100
4.0023 4.0023 2.1100
1.2800 5.2823 2.1100
2.7222 1.2800 2.1100
5.2823 6.7245 2.1100
6.7245 2.7222 2.1100
```

Properties
Space group ... P4/mbm (127)
Formation energy without anion corrections ... 0.171 eV/atom

***

Computed, not measured: a geometry-optimized La2CuAs structure at the PBE level of DFT.

POSCAR file:
```
La2CuAs
1.0
0.0000 3.6219 3.6219
3.6219 0.0000 3.6219
3.6219 3.6219 0.0000
La Cu As
2 1 1
Cartesian
0.0000 0.0000 0.0000
1.8109 1.8109 1.8109
5.4328 5.4328 5.4328
3.6219 3.6219 3.6219
```

Properties
Space group ... F-43m (216)
Energy of formation from the pure elements ... -0.07 eV/atom

***

Number 1: total DFT energy (no corrections) -3.76 eV per atom. Number 2: total DFT energy (no corrections) -3.26 eV per atom. Number 3: total DFT energy (no corrections) -4.72 eV per atom.